VASP calculation (PBE) on a relaxed TmSc4Ni4 crystal.

Structure (POSCAR):
```
TmSc4Ni4
1.0
8.2751 0.0000 0.0000
0.0000 8.2751 0.0000
0.0000 0.0000 5.1760
Tm Sc Ni
2 8 8
direct
0.2500 0.2500 0.2500 Tm
0.7500 0.7500 0.7500 Tm
0.0794 0.6583 0.1491 Sc
0.1583 0.9206 0.6491 Sc
0.3417 0.5794 0.6491 Sc
0.4206 0.8417 0.1491 Sc
0.5794 0.1583 0.8509 Sc
0.6583 0.4206 0.3509 Sc
0.8417 0.0794 0.3509 Sc
0.9206 0.3417 0.8509 Sc
0.0346 0.6131 0.6449 Ni
0.1131 0.9654 0.1449 Ni
0.3869 0.5346 0.1449 Ni
0.4654 0.8869 0.6449 Ni
0.5346 0.1131 0.3551 Ni
0.6131 0.4654 0.8551 Ni
0.8869 0.0346 0.8551 Ni
0.9654 0.3869 0.3551 Ni
```

The value obtained for the total magnetization is 0.0 μB per cell. The formation energy comes out at -0.272 eV/atom. Its calculated volume is 354.44 Å³ per cell. As for the symmetry: P4_2/n. Its density of states at the Fermi level is 15.5 states/eV per cell. The raw total energy is -110.74 eV for the cell shown.